Record 1
First-principles (meta-GGA SCAN) data for TlGaSb2I at its PBEsol-relaxed geometry, as listed in Alexandria.

total energy	-196.5	eV per cell
formation energy from raw total energies	3.45	eV per formula unit
total moment	1.4	μB/cell
DOS(E_F)	0.653	states/eV per atom

abc: 5.5909 5.5909 6.2204
angles: 90.00 90.00 90.00
Closest atoms and distances in Å follow each position.
Positions (direct):
Tl 0.0000 0.0000 0.0000  4 Sb 2.80, 2 I 3.11
Ga 0.5000 0.5000 0.5000  4 I 3.95, 8 Sb 4.18
Sb 0.0000 0.5000 0.0000  2 Tl 2.80
Sb 0.5000 0.0000 0.0000  2 Tl 2.80
I 0.0000 0.0000 0.5000  2 Tl 3.11



Record 2
First-principles (meta-GGA SCAN) data for Cs2HgAsI6 at its PBEsol-relaxed geometry, as listed in Alexandria.

total energy	-392.6	eV per cell
formation energy from raw total energies	-8.22	eV per formula unit
total moment	0.0	μB/cell
DOS(E_F)	0.226	states/eV per atom

abc: 8.3073 8.3073 8.3073
angles: 60.00 60.00 60.00
Closest atoms and distances in Å follow each position.
Positions (direct):
Cs 0.2500 0.2500 0.2500  12 I 4.15
Cs 0.7500 0.7500 0.7500  12 I 4.15
Hg 0.0000 0.0000 0.0000  6 I 3.02
As 0.5000 0.5000 0.5000  6 I 2.85
I 0.2574 0.2574 0.7426  1 As 2.85, 1 Hg 3.02
I 0.2574 0.7426 0.2574  1 As 2.85, 1 Hg 3.02
I 0.2574 0.7426 0.7426  1 As 2.85, 1 Hg 3.02
I 0.7426 0.2574 0.2574  1 As 2.85, 1 Hg 3.02
I 0.7426 0.2574 0.7426  1 As 2.85, 1 Hg 3.02
I 0.7426 0.7426 0.2574  1 As 2.85, 1 Hg 3.02